1.
! ZnIr2SeCl (PBE-GGA, relaxed); values from VASP
&SYSTEM
  ibrav = 0, nat = 5, ntyp = 4
/
ATOMIC_SPECIES
Cl 35.45 Cl.upf
Se 78.96 Se.upf
Ir 192.22 Ir.upf
Zn 65.41 Zn.upf
CELL_PARAMETERS angstrom
4.487 0.000 0.000
0.000 4.662 0.000
0.000 0.000 4.487
ATOMIC_POSITIONS angstrom
Cl 0.000 0.000 0.000
Se 2.243 2.331 2.243
Ir 2.243 0.000 0.000
Ir 0.000 0.000 2.243
Zn 0.000 2.331 0.000
! SG = P4/mmm
! Fermi-level density of states = 4.68 states/eV per cell
! raw formation energy = 30.83 kcal/mol of atoms
! VASP energy = -3.529 eV/atom
! M_tot = 0.393 Bohr magnetons per cell

---

2.
! CaNiRh (PBE-GGA, relaxed); values from VASP
&SYSTEM
  ibrav = 0, nat = 12, ntyp = 3
/
ATOMIC_SPECIES
Ni 58.69 Ni.upf
Rh 102.91 Rh.upf
Ca 40.08 Ca.upf
CELL_PARAMETERS angstrom
5.661 0.000 -0.002
0.000 4.203 0.000
-3.680 0.000 9.766
ATOMIC_POSITIONS angstrom
Ni 1.012 0.000 9.155
Ni 2.853 2.102 4.272
Ni 2.265 0.000 3.228
Ni 0.425 2.102 8.111
Rh -1.067 2.102 6.236
Rh 0.191 2.102 0.075
Rh -1.649 0.000 4.958
Rh 0.774 0.000 1.353
Ca 0.051 2.102 3.383
Ca 3.105 2.102 1.194
Ca -1.789 0.000 8.266
Ca 1.265 0.000 6.077
! SG = Cm
! Fermi-level density of states = 14.51 states/eV per cell
! VASP energy = -5.201 eV/atom
! M_tot = 1.675 Bohr magnetons per cell